VASP calculation (PBE+U) on a geometry-optimized MgCrF6 structure.

Cell lengths 5.1474, 5.1437, 5.6462 Å; angles 63.36, 63.76, 60.22 degrees
Last column: magnetic moment on the atom in μB.
Fractional coordinates of all 8 atoms:
F 0.6143 0.2091 0.2195  0.00
Mg 0.2004 0.1871 0.4282  0.00
F 0.9678 0.6103 0.2216  0.00
Cr 0.9987 0.9987 0.9982  2.04
F 0.3607 0.8123 0.7485  -0.01
F 0.8060 0.0737 0.7549  -0.03
F 0.2053 0.9628 0.2198  -0.01
F 0.0729 0.3602 0.7546  -0.02

Output
DOS(E_F), states/eV/cell: 0.00
Total energy, eV per atom: -5.27